Here is DyGa2Co2P after structural relaxation from Alexandria via LeMat-Bulk. Energies are from GGA-PBE.

Electronic total energy in hartree per atom: -0.2032
E_form in eV per atom: -0.4820
Size of the total moment in μB/f.u.: 0.33

Cell lengths 4.2214, 4.2214, 5.4120 Å; angles 90.00, 90.00, 90.00 degrees
With the nearest neighbours (Å) after each atom.
Sites, in units of the cell vectors:
1 Dy 0.0000 0.0000 0.5000  2 P 2.71
2 Ga 0.5000 0.5000 0.7357  4 Co 2.55, 1 Ga 2.55
3 Ga 0.5000 0.5000 0.2643  4 Co 2.55, 1 Ga 2.55
4 Co 0.5000 0.0000 0.0000  2 P 2.11
5 Co 0.0000 0.5000 0.0000  2 P 2.11
6 P 0.0000 0.0000 0.0000  4 Co 2.11

---

Here is DyGaCoPd after structural relaxation from Alexandria via LeMat-Bulk. Energies are from GGA-PBE.

Electronic total energy in hartree per atom: -0.1999
E_form in eV per atom: -0.4584
Size of the total moment in μB/f.u.: 0.63

Cell lengths 4.5512, 4.5512, 4.5512 Å; angles 60.00, 60.00, 60.00 degrees
With the nearest neighbours (Å) after each atom.
Sites, in units of the cell vectors:
1 Co 0.0000 0.0000 0.0000  4 Ga 2.79, 4 Dy 2.79
2 Ga 0.2500 0.2500 0.2500  4 Co 2.79, 4 Pd 2.79
3 Pd 0.5000 0.5000 0.5000  4 Dy 2.79, 4 Ga 2.79
4 Dy 0.7500 0.7500 0.7500  4 Pd 2.79, 4 Co 2.79

---

Here is DyGa4CoPd2 after structural relaxation from Alexandria via LeMat-Bulk. Energies are from GGA-PBE.

Electronic total energy in hartree per atom: -0.1771
E_form in eV per atom: -0.5446
Size of the total moment in μB/f.u.: 0.53

Cell lengths 4.2304, 4.2304, 8.9073 Å; angles 76.26, 76.26, 60.00 degrees
With the nearest neighbours (Å) after each atom.
Sites, in units of the cell vectors:
1 Dy 0.0000 0.0000 0.0000  6 Ga 2.99
2 Ga 0.4004 0.4004 0.7988  3 Pd 2.55, 1 Co 2.56
3 Ga 0.8644 0.8644 0.4067  3 Co 2.57, 4 Pd 2.64-2.66
4 Ga 0.1356 0.1356 0.5933  3 Co 2.57, 4 Pd 2.64-2.66
5 Ga 0.5996 0.5996 0.2012  3 Pd 2.55, 1 Co 2.56
6 Co 0.5000 0.5000 0.5000  8 Ga 2.56-2.57
7 Pd 0.7616 0.7616 0.7153  7 Ga 2.55-2.66
8 Pd 0.2384 0.2384 0.2847  7 Ga 2.55-2.66

---

Here is Dy2Ga5Co2Pd after structural relaxation from Alexandria via LeMat-Bulk. Energies are from GGA-PBE.

Electronic total energy in hartree per atom: -0.1781
E_form in eV per atom: -0.4720
Size of the total moment in μB/f.u.: 0.00

Cell lengths 4.0287, 9.1334, 9.1334 Å; angles 90.00, 90.00, 90.00 degrees
With the nearest neighbours (Å) after each atom.
Sites, in units of the cell vectors:
1 Dy 0.0000 0.6816 0.1816  3 Co 2.66-2.76
2 Dy 0.0000 0.3184 0.8184  3 Co 2.66-2.76
3 Dy 0.0000 0.1816 0.3184  3 Co 2.66-2.76
4 Dy 0.0000 0.8184 0.6816  3 Co 2.66-2.76
5 Ga 0.5000 0.2079 0.0611  2 Co 2.64, 3 Ga 2.73-2.80, 2 Pd 2.82
6 Ga 0.5000 0.7921 0.9389  2 Co 2.64, 3 Ga 2.73-2.80, 2 Pd 2.82
7 Ga 0.5000 0.0611 0.7921  2 Co 2.64, 3 Ga 2.73-2.80, 2 Pd 2.82
8 Ga 0.5000 0.7079 0.4389  2 Co 2.64, 3 Ga 2.73-2.80, 2 Pd 2.82
9 Ga 0.5000 0.9389 0.2079  2 Co 2.64, 3 Ga 2.73-2.80, 2 Pd 2.82
10 Ga 0.5000 0.2921 0.5611  2 Co 2.64, 3 Ga 2.73-2.80, 2 Pd 2.82
11 Ga 0.5000 0.5611 0.7079  2 Co 2.64, 3 Ga 2.73-2.80, 2 Pd 2.82
12 Ga 0.5000 0.4389 0.2921  2 Co 2.64, 3 Ga 2.73-2.80, 2 Pd 2.82
13 Ga 0.5000 0.5000 0.0000  4 Co 2.48, 4 Ga 2.73
14 Ga 0.5000 0.0000 0.5000  4 Co 2.48, 4 Ga 2.73
15 Co 0.0000 0.1122 0.6122  6 Ga 2.48-2.64, 3 Dy 2.66-2.76
16 Co 0.0000 0.8878 0.3878  6 Ga 2.48-2.64, 3 Dy 2.66-2.76
17 Co 0.0000 0.6122 0.8878  6 Ga 2.48-2.64, 3 Dy 2.66-2.76
18 Co 0.0000 0.3878 0.1122  6 Ga 2.48-2.64, 3 Dy 2.66-2.76
19 Pd 0.0000 0.0000 0.0000  8 Ga 2.82
20 Pd 0.0000 0.5000 0.5000  8 Ga 2.82

---

- The lowest electronic total energy belongs to which entry?
  DyGa2Co2P